VASP calculation (GGA-PBE) on an optimized crystal structure of Sr5Ge2Pb.

- formation energy from the elements (eV per atom) = -0.5919
- density of states at the Fermi level (states/eV per cell) = 8.13
- symmetry = I4/mcm, No. 140
- total energy (eV/atom) = -3.261

a b c (Å): 8.3220 8.3220 10.0473
angles (deg): 114.47 114.47 90.00
Fractional coordinates of all 16 atoms:
Ge  0.6141  0.1141  0.0000
Ge  0.8859  0.6141  0.0000
Ge  0.3859  0.8859  0.0000
Ge  0.1141  0.3859  0.0000
Sr  0.3120  0.8120  0.2715
Sr  0.6880  0.1880  0.7285
Sr  0.5000  0.5000  0.0000
Sr  0.8120  0.9595  0.2715
Sr  0.9595  0.4595  0.2715
Sr  0.0000  0.0000  0.0000
Sr  0.0405  0.5405  0.7285
Sr  0.5405  0.6880  0.7285
Sr  0.1880  0.0405  0.7285
Sr  0.4595  0.3120  0.2715
Pb  0.2500  0.2500  0.5000
Pb  0.7500  0.7500  0.5000

---

VASP calculation (GGA-PBE) on an optimized crystal structure of BH2Se.

- density of states at the Fermi level (states/eV per cell) = 1.82
- symmetry = Fm-3m, No. 225
- ΔE to the lowest computed polymorph (meV/atom) = 1503
- total energy (eV/atom) = -2.770

a b c (Å): 3.5761 3.5761 3.5761
angles (deg): 60.00 60.00 60.00
Fractional coordinates of all 4 atoms:
H  0.2500  0.2500  0.2500
H  0.7500  0.7500  0.7500
Se  0.5000  0.5000  0.5000
B  0.0000  0.0000  0.0000